A plane-wave DFT calculation with PBE-GGA was carried out for K2YPa2Se6 after structural relaxation.

Computed properties:
Energy in eV per atom: -5.91
Raw formation energy in eV/atom: -1.50
SG: No. 12

```
K2YPa2Se6
1.0
3.6080 -6.2173 0.0000
3.6080 6.2173 0.0000
-2.3475 0.0000 7.9362
K Y Pa Se
2 1 2 6
Direct
0.1664 0.8336 0.0000
0.8336 0.1664 0.0000
0.0000 0.0000 0.5000
0.3360 0.6640 0.5000
0.6640 0.3360 0.5000
0.0656 0.4022 0.7028
0.2644 0.2644 0.2934
0.4022 0.0656 0.7028
0.5978 0.9344 0.2972
0.7356 0.7356 0.7066
0.9344 0.5978 0.2972
```